ErV3O9 after structural relaxation. Source: the Alexandria database, functional PBE with a Hubbard U.

Total energy = -7.7455 eV per atom
Crystal system = monoclinic
N(E_F) = 0.00 states/eV/f.u.

Cell and atoms, written as CIF:
```
data_ErV3O9
_chemical_formula_sum 'Er4 V12 O36'
_symmetry_space_group_name_H-M 'C 1 c 1'
_symmetry_Int_Tables_number 9
_symmetry_space_group_name_Hall 'C -2yc'
_cell_length_a 15.215
_cell_length_b 7.447
_cell_length_c 10.860
_cell_angle_alpha 90.00
_cell_angle_beta 126.46
_cell_angle_gamma 90.00
loop_
_atom_site_label
_atom_site_type_symbol
_atom_site_fract_x
_atom_site_fract_y
_atom_site_fract_z
Er1 Er 0.000 0.249 0.000
V1 V 0.138 0.399 0.827
V2 V 0.251 0.045 0.751
V3 V 0.362 0.398 0.673
O1 O 0.035 0.364 0.843
O2 O 0.095 0.469 0.174
O3 O 0.151 0.084 0.107
O4 O 0.189 0.188 0.814
O5 O 0.249 0.498 0.500
O6 O 0.314 0.185 0.689
O7 O 0.349 0.086 0.395
O8 O 0.404 0.469 0.325
O9 O 0.465 0.367 0.656
```